## Pr10SmEr6 (GGA-PBE)

Data for an optimized crystal structure of Pr10SmEr6.

a b c (Å): 9.8952 9.8952 6.9485
angles (deg): 90.00 90.00 120.00
Closest atoms and distances in Å follow each position.
Positions (direct):
Pr: 0.0000 0.2773 0.3199  5 Er 3.41-3.64, 1 Sm 3.53, 4 Pr 3.71-3.82
Pr: 0.0000 0.7227 0.6801  5 Er 3.41-3.64, 1 Sm 3.53, 4 Pr 3.71-3.82
Pr: 0.2773 0.0000 0.3199  5 Er 3.41-3.64, 1 Sm 3.53, 4 Pr 3.71-3.82
Pr: 0.2773 0.2773 0.6801  5 Er 3.41-3.64, 1 Sm 3.53, 4 Pr 3.71-3.82
Pr: 0.3333 0.6667 0.0000  6 Er 3.40, 2 Pr 3.47
Pr: 0.3333 0.6667 0.5000  8 Pr 3.47-3.82, 6 Er 3.84
Pr: 0.6667 0.3333 0.0000  6 Er 3.40, 2 Pr 3.47
Pr: 0.6667 0.3333 0.5000  8 Pr 3.47-3.82, 6 Er 3.84
Pr: 0.7227 0.0000 0.6801  5 Er 3.41-3.64, 1 Sm 3.53, 4 Pr 3.71-3.82
Pr: 0.7227 0.7227 0.3199  5 Er 3.41-3.64, 1 Sm 3.53, 4 Pr 3.71-3.82
Sm: 0.0000 0.0000 0.0000  6 Pr 3.53, 6 Er 3.85
Er: 0.0000 0.3669 0.8158  7 Pr 3.40-3.64, 1 Er 3.67
Er: 0.0000 0.6331 0.1842  7 Pr 3.40-3.64, 1 Er 3.67
Er: 0.3669 0.0000 0.8158  7 Pr 3.40-3.64, 1 Er 3.67
Er: 0.3669 0.3669 0.1842  7 Pr 3.40-3.64, 1 Er 3.67
Er: 0.6331 0.0000 0.1842  7 Pr 3.40-3.64, 1 Er 3.67
Er: 0.6331 0.6331 0.8158  7 Pr 3.40-3.64, 1 Er 3.67

Summary:
* M_tot: 0.000 μB/atom
* total DFT energy (no corrections): -4.569 eV/atom
* ΔE_f: 0.130 eV/atom
* ρ: 7.223 g cm⁻³

## NdTmHg6 (GGA-PBE)

Data for an optimized crystal structure of NdTmHg6.

a b c (Å): 4.5469 4.5469 9.6788
angles (deg): 90.00 90.00 90.00
Closest atoms and distances in Å follow each position.
Positions (direct):
Nd: 0.0000 0.0000 0.0000  12 Hg 3.22-3.37
Tm: 0.0000 0.0000 0.5000  12 Hg 3.22-3.27
Hg: 0.0000 0.5000 0.2566  8 Hg 3.22-3.37, 2 Tm 3.27, 2 Nd 3.37
Hg: 0.0000 0.5000 0.7434  8 Hg 3.22-3.37, 2 Tm 3.27, 2 Nd 3.37
Hg: 0.5000 0.0000 0.2566  8 Hg 3.22-3.37, 2 Tm 3.27, 2 Nd 3.37
Hg: 0.5000 0.0000 0.7434  8 Hg 3.22-3.37, 2 Tm 3.27, 2 Nd 3.37
Hg: 0.5000 0.5000 0.0000  4 Nd 3.22, 8 Hg 3.37
Hg: 0.5000 0.5000 0.5000  4 Tm 3.22, 8 Hg 3.27

Summary:
* M_tot: 0.000 μB/atom
* energy above the most stable polymorph in this dataset: 0.232 eV per formula unit
* total DFT energy (no corrections): -1.694 eV/atom
* ΔE_f: -0.313 eV/atom
* ρ: 12.586 g cm⁻³

## Ac6TeRh3Au2 (GGA-PBE)

Data for an optimized crystal structure of Ac6TeRh3Au2.

a b c (Å): 10.2494 10.2494 9.2338
angles (deg): 107.43 107.43 24.64
Closest atoms and distances in Å follow each position.
Positions (direct):
Ac: 0.0086 0.0086 0.2249  3 Rh 2.98-3.01
Ac: 0.3234 0.3234 0.4362  3 Rh 2.99-3.05, 2 Au 3.34
Ac: 0.3385 0.3385 0.9034  3 Rh 3.04-3.08, 3 Au 3.32-3.33
Ac: 0.6615 0.6615 0.0966  3 Rh 3.04-3.08, 3 Au 3.32-3.33
Ac: 0.6766 0.6766 0.5638  3 Rh 2.99-3.05, 2 Au 3.34
Ac: 0.9914 0.9914 0.7751  3 Rh 2.98-3.01
Te: 0.5000 0.5000 0.5000  6 Ac 3.40
Rh: 0.1663 0.1663 0.3277  6 Ac 2.99-3.05
Rh: 0.5000 0.5000 0.0000  6 Ac 2.98-3.08
Rh: 0.8337 0.8337 0.6723  6 Ac 2.99-3.05
Au: 0.1649 0.1649 0.8286  6 Ac 3.32-3.36
Au: 0.8351 0.8351 0.1714  6 Ac 3.32-3.36

Summary:
* E_form (uncorrected): -10.270 eV per formula unit
* M_tot: 0.000 μB/atom
* total DFT energy (no corrections): -5.556 eV/atom
* ρ: 9.458 g cm⁻³

## La3Bi2Sb2Rh4 (GGA-PBE)

Data for an optimized crystal structure of La3Bi2Sb2Rh4.

a b c (Å): 4.6985 4.6985 14.0108
angles (deg): 90.00 90.00 120.00
Closest atoms and distances in Å follow each position.
Positions (direct):
La: 0.0000 0.0000 0.0000  6 Rh 3.24, 6 Sb 3.45
La: 0.0000 0.0000 0.2741  3 Rh 3.02, 3 Sb 3.21
La: 0.0000 0.0000 0.7259  3 Rh 3.02, 3 Sb 3.21
Bi: 0.3333 0.6667 0.5689  4 Rh 2.81-2.85
Bi: 0.6667 0.3333 0.4311  4 Rh 2.81-2.85
Sb: 0.3333 0.6667 0.1518  4 Rh 2.74-3.04
Sb: 0.6667 0.3333 0.8482  4 Rh 2.74-3.04
Rh: 0.3333 0.6667 0.3685  4 Bi 2.81-2.85, 3 La 3.02, 1 Sb 3.04
Rh: 0.3333 0.6667 0.8741  3 Sb 2.74
Rh: 0.6667 0.3333 0.1259  3 Sb 2.74
Rh: 0.6667 0.3333 0.6315  4 Bi 2.81-2.85, 3 La 3.02, 1 Sb 3.04

Summary:
* E_form (uncorrected): -8.370 eV per formula unit
* M_tot: 0.000 μB/atom
* total DFT energy (no corrections): -6.233 eV/atom
* ρ: 9.236 g cm⁻³

## Mg2MoRu (GGA-PBE)

Data for an optimized crystal structure of Mg2MoRu.

a b c (Å): 8.8956 2.8724 5.2433
angles (deg): 90.00 95.79 90.00
Closest atoms and distances in Å follow each position.
Positions (direct):
Mg: 0.0000 0.0000 0.0000  5 Mg 2.64-2.90, 3 Ru 2.85-2.86, 2 Mo 2.86
Mg: 0.2432 0.0000 0.7513  5 Mg 2.64-2.90, 3 Mo 2.79-2.92, 2 Ru 2.86
Mg: 0.5000 0.5000 0.0000  5 Mg 2.64-2.90, 3 Ru 2.85-2.86, 2 Mo 2.86
Mg: 0.7432 0.5000 0.7513  5 Mg 2.64-2.90, 3 Mo 2.79-2.92, 2 Ru 2.86
Mo: 0.4928 0.0000 0.4697  3 Ru 2.51-2.76, 1 Mg 2.79
Mo: 0.9928 0.5000 0.4697  3 Ru 2.51-2.76, 1 Mg 2.79
Ru: 0.2414 0.5000 0.2799  3 Mo 2.51-2.76
Ru: 0.7414 0.0000 0.2799  3 Mo 2.51-2.76

Summary:
* M_tot: 0.000 μB/atom
* energy above the most stable polymorph in this dataset: 0.849 eV per formula unit
* total DFT energy (no corrections): -5.626 eV/atom
* ΔE_f: 0.198 eV/atom
* ρ: 6.120 g cm⁻³

## Sm2DyHo6Sc3 (GGA-PBE)

Data for an optimized crystal structure of Sm2DyHo6Sc3.

a b c (Å): 6.0449 6.0449 11.4706
angles (deg): 95.03 95.03 119.98
Closest atoms and distances in Å follow each position.
Positions (direct):
Sm: 0.1667 0.8333 0.0000  3 Dy 3.49, 3 Sm 3.49, 6 Ho 3.57
Sm: 0.8333 0.1667 0.0000  3 Dy 3.49, 3 Sm 3.49, 6 Ho 3.57
Dy: 0.5000 0.5000 0.0000  6 Sm 3.49, 6 Ho 3.56
Ho: 0.0800 0.4130 0.7395  3 Sc 3.37-3.38, 6 Ho 3.49, 1 Dy 3.56, 2 Sm 3.57
Ho: 0.2539 0.2539 0.2604  3 Sc 3.37-3.38, 6 Ho 3.49, 1 Dy 3.56, 2 Sm 3.57
Ho: 0.4130 0.0800 0.7395  3 Sc 3.37-3.38, 6 Ho 3.49, 1 Dy 3.56, 2 Sm 3.57
Ho: 0.5870 0.9200 0.2605  3 Sc 3.37-3.38, 6 Ho 3.49, 1 Dy 3.56, 2 Sm 3.57
Ho: 0.7461 0.7461 0.7396  3 Sc 3.37-3.38, 6 Ho 3.49, 1 Dy 3.56, 2 Sm 3.57
Ho: 0.9200 0.5870 0.2605  3 Sc 3.37-3.38, 6 Ho 3.49, 1 Dy 3.56, 2 Sm 3.57
Sc: 0.0000 0.0000 0.5000  6 Ho 3.37-3.38, 6 Sc 3.49
Sc: 0.3335 0.6665 0.5000  6 Ho 3.37-3.38, 6 Sc 3.49
Sc: 0.6665 0.3335 0.5000  6 Ho 3.37-3.38, 6 Sc 3.49

Summary:
* M_tot: 0.000 μB/atom
* total DFT energy (no corrections): -4.997 eV/atom
* ΔE_f: 0.044 eV/atom
* ρ: 7.376 g cm⁻³